{
  "formula": "PmTcN",
  "functional": "PBE-GGA",
  "state": "relaxed",
  "space_group": "P3m1 (156)",
  "e_form_raw_ev_per_atom": -0.30,
  "e_tot_ev_per_atom": -8.111,
  "lattice_angstrom": [[5.042, 0.000, 0.000], [0.000, 3.369, 0.000], [0.000, -1.685, 2.918]],
  "species": ["Tc", "Pm", "N"],
  "fractional_positions": [[0.202, 0.333, 0.667], [0.744, 0.667, 0.333], [0.054, 0.000, 0.000]]
}